[1]
Density functional theory data (GGA-PBE) for crystalline NaCl2 at its relaxed geometry.

Unit cell a=5.0158 b=7.6786 c=7.9876 alpha=90.00 beta=90.00 gamma=90.00
Closest atoms and distances in Å follow each position.
Fractional positions:
Na 0.2500 0.7745 0.9607  4 Cl 2.76-2.90
Na 0.7500 0.7745 0.5393  4 Cl 2.76-2.90
Na 0.2500 0.2255 0.4607  4 Cl 2.76-2.90
Na 0.7500 0.2255 0.0393  4 Cl 2.76-2.90
Cl 0.2500 0.9060 0.6200  4 Na 2.76-2.90
Cl 0.7500 0.9060 0.8800  4 Na 2.76-2.90
Cl 0.0000 0.5609 0.2500  2 Cl 2.51
Cl 0.5000 0.5609 0.2500  2 Cl 2.51
Cl 0.5000 0.4391 0.7500  2 Cl 2.51
Cl 0.0000 0.4391 0.7500  2 Cl 2.51
Cl 0.2500 0.0940 0.1200  4 Na 2.76-2.90
Cl 0.7500 0.0940 0.3800  4 Na 2.76-2.90

Computed properties:
As for the relative energy among the computed polymorphs: 58 meV/atom. For the total energy, the calculation gives -2.691 eV/atom.

---

[2]
Density functional theory data (GGA-PBE) for crystalline NaCl2 at its relaxed geometry.

Unit cell a=4.6090 b=4.6090 c=5.2994 alpha=125.41 beta=125.41 gamma=70.30
Closest atoms and distances in Å follow each position.
Fractional positions:
Na 0.5000 0.5000 0.0000  8 Cl 2.96-2.98
Cl 0.9999 0.9999 0.2499  2 Cl 2.65, 3 Na 2.96-2.97
Cl 0.0001 0.0001 0.7501  2 Cl 2.65, 3 Na 2.96-2.97

Computed properties:
As for the relative energy among the computed polymorphs: 0 meV/atom. For the total energy, the calculation gives -2.749 eV/atom.

---

[3]
Density functional theory data (GGA-PBE) for crystalline NaCl2 at its relaxed geometry.

Unit cell a=4.3425 b=7.6976 c=9.4880 alpha=90.00 beta=90.00 gamma=90.00
Closest atoms and distances in Å follow each position.
Fractional positions:
Na 0.7500 0.8853 0.1352  3 Cl 2.72-2.79
Na 0.2500 0.6147 0.6352  3 Cl 2.72-2.79
Na 0.7500 0.3853 0.3648  3 Cl 2.72-2.79
Na 0.2500 0.1147 0.8648  3 Cl 2.72-2.79
Cl 0.7500 0.4040 0.6581  3 Na 2.72-2.79
Cl 0.2500 0.0960 0.1581  3 Na 2.72-2.79
Cl 0.7500 0.9040 0.8419  3 Na 2.72-2.79
Cl 0.2500 0.5960 0.3419  3 Na 2.72-2.79
Cl 0.7500 0.4944 0.0333  2 Cl 2.26
Cl 0.2500 0.0056 0.5333  2 Cl 2.26
Cl 0.7500 0.9944 0.4667  2 Cl 2.26
Cl 0.2500 0.5056 0.9667  2 Cl 2.26

Computed properties:
As for the relative energy among the computed polymorphs: 44 meV/atom. For the total energy, the calculation gives -2.705 eV/atom.

---

[4]
Density functional theory data (GGA-PBE) for crystalline NaCl6 at its relaxed geometry.

Unit cell a=9.4835 b=9.4835 c=4.9202 alpha=90.00 beta=90.00 gamma=90.00
Closest atoms and distances in Å follow each position.
Fractional positions:
Na 0.5000 0.0000 0.0000  8 Cl 3.32
Na 0.0000 0.5000 0.0000  8 Cl 3.32
Cl 0.5000 0.5000 0.2014  1 Cl 1.98
Cl 0.0000 0.0000 0.2014  1 Cl 1.98
Cl 0.0000 0.0000 0.7986  1 Cl 1.98
Cl 0.5000 0.5000 0.7986  1 Cl 1.98
Cl 0.8342 0.6658 0.5000  1 Cl 2.26
Cl 0.3342 0.8342 0.5000  1 Cl 2.26
Cl 0.6658 0.1658 0.5000  1 Cl 2.26
Cl 0.1658 0.3342 0.5000  1 Cl 2.26
Cl 0.6658 0.8342 0.5000  1 Cl 2.26
Cl 0.1658 0.6658 0.5000  1 Cl 2.26
Cl 0.8342 0.3342 0.5000  1 Cl 2.26
Cl 0.3342 0.1658 0.5000  1 Cl 2.26

Computed properties:
For the total energy, the calculation gives -2.005 eV/atom.

---

[5]
Density functional theory data (GGA-PBE) for crystalline Na4Cl3 at its relaxed geometry.

Unit cell a=3.9848 b=3.9848 c=13.4667 alpha=81.49 beta=81.49 gamma=60.00
Closest atoms and distances in Å follow each position.
Fractional positions:
Na 0.3749 0.3749 0.8752  6 Cl 2.83-2.84
Na 0.1259 0.1259 0.6223  3 Cl 2.86
Na 0.8741 0.8741 0.3777  3 Cl 2.86
Na 0.6251 0.6251 0.1248  6 Cl 2.83-2.84
Cl 0.7500 0.7500 0.7498  6 Na 2.84-2.86
Cl 0.2500 0.2500 0.2502  6 Na 2.84-2.86
Cl 0.0000 0.0000 0.0000  6 Na 2.83

Computed properties:
For the total energy, the calculation gives -3.047 eV/atom.

---

[6]
Density functional theory data (GGA-PBE) for crystalline Na2Cl at its relaxed geometry.

Unit cell a=3.5337 b=3.5337 c=12.8846 alpha=90.00 beta=90.00 gamma=90.00
Closest atoms and distances in Å follow each position.
Fractional positions:
Na 0.0000 0.0000 0.2331  4 Cl 3.01
Na 0.0000 0.0000 0.7669  4 Cl 3.01
Na 0.0000 0.0000 0.5000  8 Cl 3.06
Na 0.5000 0.5000 0.0000  12 Na 3.53-3.91
Cl 0.5000 0.5000 0.3631  8 Na 3.01-3.06
Cl 0.5000 0.5000 0.6369  8 Na 3.01-3.06

Computed properties:
As for the relative energy among the computed polymorphs: 31 meV/atom. For the total energy, the calculation gives -2.558 eV/atom.

---

[7]
Density functional theory data (GGA-PBE) for crystalline NaCl3 at its relaxed geometry.

Unit cell a=5.5240 b=5.5240 c=5.5240 alpha=90.00 beta=90.00 gamma=90.00
Closest atoms and distances in Å follow each position.
Fractional positions:
Na 0.5000 0.5000 0.5000  12 Cl 3.09
Na 0.0000 0.0000 0.0000  12 Cl 3.09
Cl 0.5000 0.0000 0.7500  2 Cl 2.76, 4 Na 3.09
Cl 0.0000 0.2500 0.5000  2 Cl 2.76, 4 Na 3.09
Cl 0.7500 0.5000 0.0000  2 Cl 2.76, 4 Na 3.09
Cl 0.5000 0.0000 0.2500  2 Cl 2.76, 4 Na 3.09
Cl 0.0000 0.7500 0.5000  2 Cl 2.76, 4 Na 3.09
Cl 0.2500 0.5000 0.0000  2 Cl 2.76, 4 Na 3.09

Computed properties:
As for the relative energy among the computed polymorphs: 290 meV/atom. For the total energy, the calculation gives -2.300 eV/atom.

---

[8]
Density functional theory data (GGA-PBE) for crystalline Na2Cl at its relaxed geometry.

Unit cell a=8.1832 b=8.1832 c=8.1832 alpha=152.38 beta=128.18 gamma=59.72
Closest atoms and distances in Å follow each position.
Fractional positions:
Na 0.8429 0.3555 0.4874  2 Cl 2.75
Na 0.6319 0.6445 0.9874  2 Cl 2.75
Na 0.1571 0.6445 0.5126  2 Cl 2.75
Na 0.3681 0.3555 0.0126  2 Cl 2.75
Cl 0.8626 0.1126 0.7500  4 Na 2.75
Cl 0.1374 0.8874 0.2500  4 Na 2.75

Computed properties:
As for the relative energy among the computed polymorphs: 115 meV/atom. For the total energy, the calculation gives -2.473 eV/atom.

---

[9]
Density functional theory data (GGA-PBE) for crystalline Na4Cl at its relaxed geometry.

Unit cell a=5.6126 b=5.6126 c=5.6126 alpha=90.00 beta=90.00 gamma=90.00
Closest atoms and distances in Å follow each position.
Fractional positions:
Na 0.0000 0.0000 0.0000  12 Na 3.97
Na 0.5000 0.0000 0.5000  2 Cl 2.81
Na 0.0000 0.5000 0.5000  2 Cl 2.81
Na 0.5000 0.5000 0.0000  2 Cl 2.81
Cl 0.5000 0.5000 0.5000  6 Na 2.81

Computed properties:
For the total energy, the calculation gives -1.990 eV/atom.

---

[10]
Density functional theory data (GGA-PBE) for crystalline NaCl3 at its relaxed geometry.

Unit cell a=6.3815 b=8.1353 c=8.1256 alpha=90.00 beta=90.00 gamma=90.00
Closest atoms and distances in Å follow each position.
Fractional positions:
Na 0.2500 0.0366 0.8080  3 Cl 2.80-2.84
Na 0.2500 0.4634 0.3080  3 Cl 2.80-2.84
Na 0.7500 0.9634 0.1920  3 Cl 2.80-2.84
Na 0.7500 0.5366 0.6920  3 Cl 2.80-2.84
Cl 0.2500 0.3361 0.6288  1 Cl 2.44
Cl 0.2500 0.1639 0.1288  1 Cl 2.44
Cl 0.7500 0.6639 0.3712  1 Cl 2.44
Cl 0.7500 0.8361 0.8712  1 Cl 2.44
Cl 0.2500 0.7908 0.5600  1 Cl 2.20
Cl 0.2500 0.7092 0.0600  1 Cl 2.20
Cl 0.7500 0.2092 0.4400  1 Cl 2.20
Cl 0.7500 0.2908 0.9400  1 Cl 2.20
Cl 0.2500 0.5331 0.8545  2 Cl 2.20-2.44
Cl 0.2500 0.9669 0.3545  2 Cl 2.20-2.44
Cl 0.7500 0.4669 0.1455  2 Cl 2.20-2.44
Cl 0.7500 0.0331 0.6455  2 Cl 2.20-2.44

Computed properties:
As for the relative energy among the computed polymorphs: 41 meV/atom. For the total energy, the calculation gives -2.548 eV/atom.

---

[11]
Density functional theory data (GGA-PBE) for crystalline NaCl5 at its relaxed geometry.

Unit cell a=4.2964 b=4.7576 c=11.8930 alpha=104.43 beta=90.00 gamma=116.84
Closest atoms and distances in Å follow each position.
Fractional positions:
Na 0.0634 0.1267 0.0635  3 Cl 2.67-2.70
Cl 0.4443 0.8886 0.6290  1 Cl 2.00
Cl 0.5840 0.1680 0.2501  1 Cl 2.07
Cl 0.6169 0.2339 0.7829  1 Cl 2.00
Cl 0.7619 0.5237 0.4098  1 Cl 2.07
Cl 0.3628 0.7256 0.0314  3 Na 2.67-2.70, 1 Cl 2.75

Computed properties:
For the total energy, the calculation gives -2.315 eV/atom.

---

[12]
Density functional theory data (GGA-PBE) for crystalline NaCl3 at its relaxed geometry.

Unit cell a=4.2771 b=4.2867 c=5.3307 alpha=90.00 beta=90.00 gamma=90.00
Closest atoms and distances in Å follow each position.
Fractional positions:
Na 0.0000 0.8357 0.0000  2 Cl 2.67
Cl 0.5000 0.3328 0.0000  2 Cl 2.67
Cl 0.5000 0.3325 0.5000  2 Cl 2.67
Cl 0.0000 0.8323 0.5000  2 Na 2.67

Computed properties:
As for the relative energy among the computed polymorphs: 283 meV/atom. For the total energy, the calculation gives -2.306 eV/atom.